(1)
VASP calculation (PBE-GGA) on a relaxed structure of TlReHg3.

Structure (CIF):
```
data_TlReHg3
_symmetry_space_group_name_H-M 'P m -3 m'
_symmetry_Int_Tables_number 221
_symmetry_space_group_name_Hall '-P 4 2 3'
_cell_length_a 5.298
_cell_length_b 5.298
_cell_length_c 5.298
_cell_angle_alpha 90.00
_cell_angle_beta 90.00
_cell_angle_gamma 90.00
loop_
_atom_site_label
_atom_site_fract_x
_atom_site_fract_y
_atom_site_fract_z
Tl1 0.000 0.000 0.000
Re1 0.500 0.500 0.500
Hg1 0.000 0.500 0.500
```

For the excess energy over the best structure of this formula in the dataset, the calculation gives 0.000 eV per atom.

---

(2)
VASP calculation (PBE-GGA) on a relaxed structure of Tm4ReHg.

Structure (CIF):
```
data_Tm4ReHg
_symmetry_space_group_name_H-M 'C 1 2/c 1'
_symmetry_Int_Tables_number 15
_cell_length_a 8.435
_cell_length_b 12.614
_cell_length_c 6.178
_cell_angle_alpha 90.00
_cell_angle_beta 105.96
_cell_angle_gamma 90.00
loop_
_symmetry_equiv_pos_as_xyz
'x,y,z'
'-x,-y,-z'
'-x,y,-z+1/2'
'x,-y,z+1/2'
'x+1/2,y+1/2,z'
'-x+1/2,-y+1/2,-z'
'-x+1/2,y+1/2,-z+1/2'
'x+1/2,-y+1/2,z+1/2'
loop_
_atom_site_label
_atom_site_fract_x
_atom_site_fract_y
_atom_site_fract_z
Tm1 0.105 0.172 0.043
Tm2 0.219 0.422 0.402
Re1 0.000 0.001 0.250
Hg1 0.000 0.373 0.750
```

---

(3)
VASP calculation (PBE-GGA) on a relaxed structure of VReHg2.

Structure (CIF):
```
data_VReHg2
_symmetry_space_group_name_H-M 'I -4 2 d'
_symmetry_Int_Tables_number 122
_symmetry_space_group_name_Hall 'I -4 2bw'
_cell_length_a 7.568
_cell_length_b 7.568
_cell_length_c 5.498
_cell_angle_alpha 90.00
_cell_angle_beta 90.00
_cell_angle_gamma 90.00
loop_
_atom_site_label
_atom_site_fract_x
_atom_site_fract_y
_atom_site_fract_z
V1 0.000 0.000 0.000
Re1 0.000 0.000 0.500
Hg1 0.250 0.250 0.375
```

For the excess energy over the best structure of this formula in the dataset, the calculation gives 0.324 eV per atom.

---

(4)
VASP calculation (PBE-GGA) on a relaxed structure of V2ReHg.

Structure (CIF):
```
data_V2ReHg
_symmetry_space_group_name_H-M 'P 4/m m m'
_symmetry_Int_Tables_number 123
_symmetry_space_group_name_Hall '-P 4 2'
_cell_length_a 3.091
_cell_length_b 3.091
_cell_length_c 6.589
_cell_angle_alpha 90.00
_cell_angle_beta 90.00
_cell_angle_gamma 90.00
loop_
_atom_site_label
_atom_site_fract_x
_atom_site_fract_y
_atom_site_fract_z
V1 0.000 0.000 0.214
Re1 0.500 0.500 0.000
Hg1 0.500 0.500 0.500
```

---

(5)
VASP calculation (PBE-GGA) on a relaxed structure of V3ReHg.

Structure (CIF):
```
data_V3ReHg
_symmetry_space_group_name_H-M 'P m -3 m'
_symmetry_Int_Tables_number 221
_symmetry_space_group_name_Hall '-P 4 2 3'
_cell_length_a 4.607
_cell_length_b 4.607
_cell_length_c 4.607
_cell_angle_alpha 90.00
_cell_angle_beta 90.00
_cell_angle_gamma 90.00
loop_
_atom_site_label
_atom_site_fract_x
_atom_site_fract_y
_atom_site_fract_z
V1 0.000 0.000 0.500
Re1 0.000 0.000 0.000
Hg1 0.500 0.500 0.500
```

For the excess energy over the best structure of this formula in the dataset, the calculation gives 0.000 eV per atom.

---

(6)
VASP calculation (PBE-GGA) on a relaxed structure of V3ReHg.

Structure (CIF):
```
data_V3ReHg
_symmetry_space_group_name_H-M 'P m -3 m'
_symmetry_Int_Tables_number 221
_symmetry_space_group_name_Hall '-P 4 2 3'
_cell_length_a 4.849
_cell_length_b 4.849
_cell_length_c 4.849
_cell_angle_alpha 90.00
_cell_angle_beta 90.00
_cell_angle_gamma 90.00
loop_
_atom_site_label
_atom_site_fract_x
_atom_site_fract_y
_atom_site_fract_z
V1 0.000 0.000 0.500
Re1 0.500 0.500 0.500
Hg1 0.000 0.000 0.000
```

For the excess energy over the best structure of this formula in the dataset, the calculation gives 1.186 eV per atom.

---

(7)
VASP calculation (PBE-GGA) on a relaxed structure of VReHg2.

Structure (CIF):
```
data_VReHg2
_symmetry_space_group_name_H-M 'F m -3 m'
_symmetry_Int_Tables_number 225
_symmetry_space_group_name_Hall '-F 4 2 3'
_cell_length_a 6.571
_cell_length_b 6.571
_cell_length_c 6.571
_cell_angle_alpha 90.00
_cell_angle_beta 90.00
_cell_angle_gamma 90.00
loop_
_atom_site_label
_atom_site_fract_x
_atom_site_fract_y
_atom_site_fract_z
V1 0.000 0.000 0.000
Re1 0.000 0.000 0.500
Hg1 0.250 0.250 0.250
```

For the excess energy over the best structure of this formula in the dataset, the calculation gives 0.000 eV per atom.

---

(8)
VASP calculation (PBE-GGA) on a relaxed structure of VReHg3.

Structure (CIF):
```
data_VReHg3
_symmetry_space_group_name_H-M 'P m -3 m'
_symmetry_Int_Tables_number 221
_symmetry_space_group_name_Hall '-P 4 2 3'
_cell_length_a 5.223
_cell_length_b 5.223
_cell_length_c 5.223
_cell_angle_alpha 90.00
_cell_angle_beta 90.00
_cell_angle_gamma 90.00
loop_
_atom_site_label
_atom_site_fract_x
_atom_site_fract_y
_atom_site_fract_z
V1 0.000 0.000 0.000
Re1 0.500 0.500 0.500
Hg1 0.000 0.500 0.500
```

For the excess energy over the best structure of this formula in the dataset, the calculation gives 0.000 eV per atom.

---

(9)
VASP calculation (PBE-GGA) on a relaxed structure of V2ReHg.

Structure (CIF):
```
data_V2ReHg
_symmetry_space_group_name_H-M 'I -4 2 d'
_symmetry_Int_Tables_number 122
_symmetry_space_group_name_Hall 'I -4 2bw'
_cell_length_a 7.100
_cell_length_b 7.100
_cell_length_c 5.469
_cell_angle_alpha 90.00
_cell_angle_beta 90.00
_cell_angle_gamma 90.00
loop_
_atom_site_label
_atom_site_fract_x
_atom_site_fract_y
_atom_site_fract_z
V1 0.211 0.250 0.125
Re1 0.000 0.000 0.000
Hg1 0.000 0.000 0.500
```

---

(10)
VASP calculation (PBE-GGA) on a relaxed structure of Re3HgW.

Structure (CIF):
```
data_Re3HgW
_symmetry_space_group_name_H-M 'P m -3 m'
_symmetry_Int_Tables_number 221
_symmetry_space_group_name_Hall '-P 4 2 3'
_cell_length_a 4.767
_cell_length_b 4.767
_cell_length_c 4.767
_cell_angle_alpha 90.00
_cell_angle_beta 90.00
_cell_angle_gamma 90.00
loop_
_atom_site_label
_atom_site_fract_x
_atom_site_fract_y
_atom_site_fract_z
Re1 0.000 0.000 0.500
Hg1 0.500 0.500 0.500
W1 0.000 0.000 0.000
```

For the excess energy over the best structure of this formula in the dataset, the calculation gives 0.000 eV per atom.

---

(11)
VASP calculation (PBE-GGA) on a relaxed structure of ReHgW3.

Structure (CIF):
```
data_ReHgW3
_symmetry_space_group_name_H-M 'P m -3 m'
_symmetry_Int_Tables_number 221
_symmetry_space_group_name_Hall '-P 4 2 3'
_cell_length_a 4.805
_cell_length_b 4.805
_cell_length_c 4.805
_cell_angle_alpha 90.00
_cell_angle_beta 90.00
_cell_angle_gamma 90.00
loop_
_atom_site_label
_atom_site_fract_x
_atom_site_fract_y
_atom_site_fract_z
Re1 0.000 0.000 0.000
Hg1 0.500 0.500 0.500
W1 0.000 0.500 0.500
```

For the excess energy over the best structure of this formula in the dataset, the calculation gives 1.523 eV per atom.

---

(12)
VASP calculation (PBE-GGA) on a relaxed structure of Re3HgW.

Structure (CIF):
```
data_Re3HgW
_symmetry_space_group_name_H-M 'P m -3 m'
_symmetry_Int_Tables_number 221
_symmetry_space_group_name_Hall '-P 4 2 3'
_cell_length_a 4.761
_cell_length_b 4.761
_cell_length_c 4.761
_cell_angle_alpha 90.00
_cell_angle_beta 90.00
_cell_angle_gamma 90.00
loop_
_atom_site_label
_atom_site_fract_x
_atom_site_fract_y
_atom_site_fract_z
Re1 0.000 0.000 0.500
Hg1 0.000 0.000 0.000
W1 0.500 0.500 0.500
```

For the excess energy over the best structure of this formula in the dataset, the calculation gives 1.279 eV per atom.

---

no.,electronic total energy (eV per atom)
1,-2.40
2,-5.34
3,-4.36
4,-7.65
5,-6.93
6,-5.74
7,-4.69
8,-3.10
9,-7.02
10,-7.85
11,-6.81
12,-6.57